# BaTbGeSe4

A relaxed BaTbGeSe4 crystal (PBE, Alexandria).

Lattice parameters (Å, degrees): 7.085 7.097 8.771 90.00 108.14 90.00
Element x y z (fractional)
Se 0.449 0.750 0.144
Se 0.016 0.983 0.719
Se 0.536 0.250 0.414
Se 0.984 0.017 0.281
Se 0.984 0.483 0.281
Se 0.016 0.517 0.719
Se 0.551 0.250 0.856
Se 0.464 0.750 0.586
Ba 0.247 0.250 0.060
Ba 0.753 0.750 0.940
Tb 0.221 0.250 0.556
Tb 0.779 0.750 0.444
Ge 0.772 0.250 0.682
Ge 0.228 0.750 0.318

Total energy   -0.3552 Ry/atom
SG   P2_1/m (11)
Magnetic moment   0.0 Bohr magnetons per cell